Below is KMoRuO6 after structural relaxation, with properties calculated at the PBE+U level.

Values from the calculation:
Crystal system ... trigonal
Raw total energy ... -0.2422 hartree per atom

Cell lengths 5.2805, 5.2805, 5.9791 Å; angles 90.00, 90.00, 60.00 degrees
Site moments in Bohr magnetons follow the coordinates.
Atoms (fractional coordinates):
K 0.0000 0.0000 0.0096  0.00
Mo 0.6666 0.6667 0.5292  0.18
Ru 0.3333 0.3333 0.4768  1.87
O 0.9941 0.3971 0.3148  0.19
O 0.3797 0.9979 0.6800  0.05
O 0.6224 0.3797 0.6800  0.05
O 0.9978 0.6224 0.6800  0.05
O 0.3971 0.6088 0.3148  0.19
O 0.6087 0.9941 0.3148  0.19